(1)
Material: LiCuPt
Method: DFT, PBE-GGA
State: relaxed

The value obtained for the energy relative to the elements is -0.269 eV/atom. The space group is I4mm, No. 107.

Cell: 4.7952 4.7952 4.7952 Å, 143.28 143.28 52.91°
Atoms (fractional coordinates):
Cu1 0.9938 0.9938 0.0000
Li1 0.3361 0.3361 0.0000
Pt1 0.6701 0.6701 0.0000

---

(2)
Material: Li3Cu2Pt2
Method: DFT, PBE-GGA
State: relaxed

The value obtained for the energy relative to the elements is -0.271 eV/atom. The space group is P2/m, No. 10.

Cell: 2.6864 4.5193 9.6069 Å, 61.91 90.00 90.00°
Atoms (fractional coordinates):
Li1 0.0000 0.7445 0.5002
Li2 0.0000 0.0000 0.0000
Li3 0.0000 0.2555 0.4998
Cu1 0.0000 0.7266 0.7716
Cu2 0.0000 0.2734 0.2284
Pt1 0.5000 0.7375 0.2641
Pt2 0.5000 0.2625 0.7359

---

(3)
Material: Li7CuPt3
Method: DFT, PBE-GGA
State: relaxed

The value obtained for the energy relative to the elements is -0.393 eV/atom. The space group is Cmcm, No. 63.

Cell: 2.7010 10.3613 12.0651 Å, 90.00 90.00 97.49°
Atoms (fractional coordinates):
Li1 0.3083 0.6166 0.7500
Li2 0.6917 0.3834 0.2500
Li3 0.5542 0.1085 0.3654
Li4 0.4458 0.8915 0.6346
Li5 0.4458 0.8915 0.8654
Li6 0.5542 0.1085 0.1346
Li7 0.4056 0.8112 0.4053
Li8 0.5944 0.1888 0.5947
Li9 0.2796 0.5593 0.4077
Li10 0.7204 0.4407 0.5923
Li11 0.7204 0.4407 0.9077
Li12 0.2796 0.5593 0.0923
Li13 0.4056 0.8112 0.0947
Li14 0.5944 0.1888 0.9053
Cu1 0.9669 0.9339 0.2500
Cu2 0.0331 0.0661 0.7500
Pt1 0.1551 0.3101 0.4338
Pt2 0.8449 0.6899 0.5662
Pt3 0.1613 0.3227 0.7500
Pt4 0.8387 0.6773 0.2500
Pt5 0.1551 0.3101 0.0662
Pt6 0.8449 0.6899 0.9338

---

Which value of energy relative to the elements does entry 3 give? -0.393 eV/atom

---

What is the formula in the second record? Li3Cu2Pt2

---

energy relative to the elements of number 3 (Li7CuPt3)? -0.393 eV/atom

---

Look up the energy relative to the elements of the first one. -0.269 eV/atom